Record 1
Compound: Al3Ag5
Source: Alexandria
Functional: GGA-PBEsol
Structure: relaxed

Calculated values
Space group: Fmm2 (42)

The structure in extended XYZ format:
```
8
Lattice="0.000 3.879 5.578 2.984 0.000 5.578 2.984 3.879 0.000" Properties=species:S:1:pos:R:3 pbc="T T T"
Al 0.000 0.000 0.000
Al 1.492 1.939 4.047
Al 4.476 5.818 9.626
Ag 1.492 1.939 1.249
Ag 2.984 3.879 2.692
Ag 2.984 3.879 5.444
Ag 4.476 5.818 6.827
Ag 2.984 3.879 8.410
```

Record 2
Compound: Al6Ag
Source: Alexandria
Functional: GGA-PBEsol
Structure: relaxed

Calculated values
Space group: R-3 (148)

The structure in extended XYZ format:
```
7
Lattice="3.769 2.176 2.318 -3.769 2.176 2.318 0.000 -4.352 2.318" Properties=species:S:1:pos:R:3 pbc="T T T"
Al -2.155 -1.853 3.487
Al -2.683 0.940 3.466
Al 0.527 -2.793 3.466
Al -0.527 2.793 3.487
Al 2.683 -0.940 3.487
Al 2.155 1.853 3.466
Ag 0.000 0.000 3.476
```

Record 3
Compound: AlAg2
Source: Alexandria
Functional: GGA-PBEsol
Structure: relaxed

Calculated values
Space group: P2/m (10)

The structure in extended XYZ format:
```
6
Lattice="4.815 0.000 0.000 0.000 2.939 0.000 -1.555 0.000 6.820" Properties=species:S:1:pos:R:3 pbc="T T T"
Al 0.908 0.000 1.200
Al 2.351 0.000 5.620
Ag -0.778 0.000 3.410
Ag -0.077 1.469 5.763
Ag 1.630 1.469 3.410
Ag 3.336 1.469 1.057
```

Record 4
Compound: Al3Ag2
Source: Alexandria
Functional: GGA-PBEsol
Structure: relaxed

Calculated values
Space group: C2/m (12)

The structure in extended XYZ format:
```
10
Lattice="8.903 0.000 0.000 0.000 3.052 0.000 -3.351 0.000 6.005" Properties=species:S:1:pos:R:3 pbc="T T T"
Al 0.000 0.000 0.000
Al -0.449 1.526 2.373
Al 1.550 0.000 3.632
Al 4.452 1.526 0.000
Al 4.003 0.000 2.373
Al 6.002 1.526 3.632
Ag -0.905 0.000 4.748
Ag 2.007 1.526 1.258
Ag 3.546 1.526 4.748
Ag 6.458 0.000 1.258
```

Record 5
Compound: Al3Ag5
Source: Alexandria
Functional: GGA-PBEsol
Structure: relaxed

Calculated values
Space group: R-3m (166)

The structure in extended XYZ format:
```
8
Lattice="2.874 1.659 4.505 -2.874 1.659 4.505 0.000 -3.318 4.505" Properties=species:S:1:pos:R:3 pbc="T T T"
Al -1.437 -0.830 4.505
Al -1.437 0.830 9.010
Al 0.000 1.659 4.505
Ag 0.000 0.000 0.000
Ag -2.874 0.000 6.757
Ag -1.437 0.830 2.252
Ag 1.437 0.830 2.252
Ag 0.000 0.000 6.757
```

Record 6
Compound: Al7Ag5
Source: Alexandria
Functional: GGA-PBEsol
Structure: relaxed

Calculated values
Space group: Cmm2 (35)

The structure in extended XYZ format:
```
12
Lattice="1.997 -6.094 0.000 1.997 6.094 0.000 0.000 0.000 8.005" Properties=species:S:1:pos:R:3 pbc="T T T"
Al 0.000 0.000 0.000
Al 1.997 4.051 2.127
Al 1.997 2.045 0.075
Al 1.997 2.004 4.131
Al 1.997 -2.004 4.131
Al 1.997 -2.045 0.075
Al 1.997 -4.051 2.127
Ag 0.000 0.000 4.001
Ag 1.997 4.053 6.112
Ag 1.997 0.000 1.955
Ag 1.997 0.000 6.088
Ag 1.997 -4.053 6.112
```

Number 1: total energy -29.46 eV per cell, ΔE_f -0.0793 eV per atom, Fermi-level density of states 2.78 states/eV/f.u.. Number 2: total energy -27.86 eV per cell, ΔE_f 0.0007 eV per atom, Fermi-level density of states 2.47 states/eV/f.u.. Number 3: total energy -21.99 eV per cell, ΔE_f -0.0943 eV per atom, Fermi-level density of states 0.84 states/eV/f.u.. Number 4: total energy -38.20 eV per cell, ΔE_f -0.0408 eV per atom, Fermi-level density of states 1.49 states/eV/f.u.. Number 5: total energy -29.39 eV per cell, ΔE_f -0.0697 eV per atom, Fermi-level density of states 2.11 states/eV/f.u.. Number 6: total energy -45.64 eV per cell, ΔE_f -0.0371 eV per atom, Fermi-level density of states 4.33 states/eV/f.u..